No. 1
Below is a geometry-optimized BaMgCd2 structure, with properties calculated at the GGA-PBE level.

Cell lengths 4.8283, 3.7601, 7.1462 Å; angles 74.55, 90.00, 90.00 degrees
Fractional positions:
Cd  0.0000  0.1711  0.0373
Mg  0.0000  0.4854  0.4063
Ba  0.5000  0.8010  0.7809
Cd  0.5000  0.0426  0.2755

Values from the calculation:
V, Å³ per cell: 125.1
ΔE_f, eV/atom: -0.146
Magnetic moment, Bohr magnetons per cell: 0.00

=====

No. 2
Below is a geometry-optimized TaCd2P structure, with properties calculated at the GGA-PBE level.

Cell lengths 2.9682, 2.9682, 9.5720 Å; angles 90.00, 90.00, 106.74 degrees
Fractional positions:
Cd  0.5000  0.5000  0.2520
Ta  0.5000  0.5000  0.7255
P  0.0000  0.0000  0.5465
Cd  0.0000  0.0000  0.9760

Values from the calculation:
V, Å³ per cell: 80.8
ΔE_f, eV/atom: 0.082
Magnetic moment, Bohr magnetons per cell: 0.00

=====

No. 3
Below is a geometry-optimized ErInPdRh structure, with properties calculated at the GGA-PBE level.

Cell lengths 4.7294, 4.7294, 4.7294 Å; angles 60.00, 60.00, 60.00 degrees
Fractional positions:
In  0.7500  0.7500  0.7500
Pd  0.0000  0.0000  0.0000
Rh  0.5000  0.5000  0.5000
Er  0.2500  0.2500  0.2500

Values from the calculation:
V, Å³ per cell: 74.8
ΔE_f, eV/atom: -0.786
Magnetic moment, Bohr magnetons per cell: 0.00

=====

No. 4
Below is a geometry-optimized MgPdSe2 structure, with properties calculated at the GGA-PBE level.

Cell lengths 8.2936, 8.2936, 8.2936 Å; angles 25.58, 25.58, 25.58 degrees
Fractional positions:
Mg  0.5000  0.5000  0.5000
Se  0.9010  0.9010  0.9010
Pd  0.0000  0.0000  0.0000
Se  0.0990  0.0990  0.0990

Values from the calculation:
V, Å³ per cell: 93.7
Magnetic moment, Bohr magnetons per cell: 0.00
Uncorrected formation energy, eV per atom: -0.27

=====

No. 5
Below is a geometry-optimized K2Tl5Pb4 structure, with properties calculated at the GGA-PBE level.

Cell lengths 7.1398, 9.1214, 7.2654 Å; angles 79.45, 60.57, 66.96 degrees
Fractional positions:
Pb  0.7192  0.8576  0.7040
Pb  0.2808  0.1424  0.2960
Tl  0.2257  0.8337  0.1587
K  0.3079  0.7630  0.6212
Tl  0.7818  0.8337  0.1587
K  0.6921  0.2370  0.3788
Tl  0.2182  0.1663  0.8413
Pb  0.2742  0.4568  0.9948
Tl  0.7743  0.1663  0.8413
Pb  0.7258  0.5432  0.0052
Tl  0.0000  0.5000  0.5000

Values from the calculation:
V, Å³ per cell: 379.2
ΔE_f, eV/atom: -0.023
Magnetic moment, Bohr magnetons per cell: 0.00

=====

No. 6
Below is a geometry-optimized ScTaN structure, with properties calculated at the GGA-PBE level.

Cell lengths 3.8489, 3.8489, 6.2807 Å; angles 90.00, 90.00, 83.40 degrees
Fractional positions:
Sc  0.8584  0.3584  0.8656
N  0.2244  0.7244  0.8024
Ta  0.9265  0.9265  0.5000
Ta  0.4265  0.4265  0.5000
Sc  0.3584  0.8584  0.1344
N  0.7244  0.2244  0.1976

Values from the calculation:
V, Å³ per cell: 92.4
Magnetic moment, Bohr magnetons per cell: 0.00
Uncorrected formation energy, eV per atom: -0.25